ZrInCu, optimized geometry, DFT PBE-GGA; DOS(E_F) = 5.62 states/eV per cell; theoretical density = 7.85 Mg/m³; symmetry = Cmmm; energy of formation from the pure elements = -0.139 eV/atom
1.0
2.1615 -6.0605 0.0000
2.1615 6.0605 0.0000
0.0000 0.0000 4.3522
Zr In Cu
2 2 2
Cartesian
2.1615 4.1760 0.0000
2.1615 -4.1760 0.0000
2.1615 1.7966 2.1761
2.1615 -1.7966 2.1761
0.0000 0.0000 2.1761
2.1615 0.0000 0.0000

Mg5CdAg, optimized geometry, DFT PBE-GGA; DOS(E_F) = 1.83 states/eV per cell; theoretical density = 3.59 Mg/m³; symmetry = P4/mmm; energy of formation from the pure elements = -0.054 eV/atom; relative energy among the computed polymorphs = 0 meV per atom
1.0
4.5913 0.0000 0.0000
0.0000 4.5913 0.0000
0.0000 0.0000 7.5071
Mg Cd Ag
5 1 1
Cartesian
0.0000 0.0000 0.0000
0.0000 2.2957 2.1571
0.0000 2.2957 5.3500
2.2957 0.0000 2.1571
2.2957 0.0000 5.3500
2.2957 2.2957 0.0000
2.2957 2.2957 3.7536